No. 1
A plane-wave DFT calculation with GGA-PBE was carried out for a relaxed AcLa4Nd5 crystal.

a b c (Å): 9.162 9.162 7.357
angles (deg): 101.46 101.46 37.85
Fractional coordinates of all 10 atoms:
Ac  0.000  0.000  0.000
La  0.213  0.213  0.853
La  0.402  0.402  0.694
La  0.598  0.598  0.306
La  0.787  0.787  0.147
Nd  0.000  0.000  0.500
Nd  0.210  0.210  0.359
Nd  0.399  0.399  0.205
Nd  0.601  0.601  0.795
Nd  0.790  0.790  0.641

Results
- E above lowest polymorph (meV per atom) = 0
- density (Mg/m³) = 6.740
- space group = C2/m (12)

***

No. 2
A plane-wave DFT calculation with GGA-PBE was carried out for a relaxed AcLa9Nd2 crystal.

a b c (Å): 5.284 5.284 15.850
angles (deg): 90.00 90.00 90.00
Fractional coordinates of all 12 atoms:
Ac  0.000  0.000  0.000
La  0.000  0.500  0.171
La  0.000  0.500  0.500
La  0.000  0.500  0.829
La  0.500  0.000  0.171
La  0.500  0.000  0.500
La  0.500  0.000  0.829
La  0.500  0.500  0.000
La  0.500  0.500  0.336
La  0.500  0.500  0.664
Nd  0.000  0.000  0.336
Nd  0.000  0.000  0.664

Results
- density (Mg/m³) = 6.625
- uncorrected energy (eV/atom) = -4.8260
- space group = P4/mmm (123)

***

No. 3
A plane-wave DFT calculation with GGA-PBE was carried out for a relaxed Ac3LaNd12 crystal.

a b c (Å): 5.293 5.293 21.144
angles (deg): 90.00 90.00 90.00
Fractional coordinates of all 16 atoms:
Ac  0.000  0.000  0.000
Ac  0.000  0.000  0.252
Ac  0.000  0.000  0.748
La  0.000  0.000  0.500
Nd  0.000  0.500  0.126
Nd  0.000  0.500  0.378
Nd  0.000  0.500  0.622
Nd  0.000  0.500  0.874
Nd  0.500  0.000  0.126
Nd  0.500  0.000  0.378
Nd  0.500  0.000  0.622
Nd  0.500  0.000  0.874
Nd  0.500  0.500  0.000
Nd  0.500  0.500  0.252
Nd  0.500  0.500  0.500
Nd  0.500  0.500  0.748

Results
- density (Mg/m³) = 7.151
- uncorrected energy (eV/atom) = -4.6341
- space group = P4/mmm (123)

***

No. 4
A plane-wave DFT calculation with GGA-PBE was carried out for a relaxed Ac8La2Nd3 crystal.

a b c (Å): 6.211 8.373 11.563
angles (deg): 68.84 89.99 90.00
Fractional coordinates of all 13 atoms:
Ac  0.000  0.106  0.207
Ac  0.000  0.313  0.793
Ac  0.000  0.687  0.207
Ac  0.000  0.894  0.793
Ac  0.500  0.171  0.657
Ac  0.500  0.368  0.264
Ac  0.500  0.632  0.736
Ac  0.500  0.829  0.343
La  0.000  0.257  0.485
La  0.000  0.743  0.515
Nd  0.000  0.500  0.000
Nd  0.500  0.210  0.000
Nd  0.500  0.790  0.000

Results
- density (Mg/m³) = 7.482
- uncorrected energy (eV/atom) = -4.1851
- space group = P-1 (2)

***

No. 5
A plane-wave DFT calculation with GGA-PBE was carried out for a relaxed AcLa2Nd9 crystal.

a b c (Å): 5.253 5.253 15.766
angles (deg): 90.00 90.00 90.00
Fractional coordinates of all 12 atoms:
Ac  0.000  0.000  0.000
La  0.000  0.000  0.335
La  0.000  0.000  0.665
Nd  0.000  0.500  0.170
Nd  0.000  0.500  0.500
Nd  0.000  0.500  0.830
Nd  0.500  0.000  0.170
Nd  0.500  0.000  0.500
Nd  0.500  0.000  0.830
Nd  0.500  0.500  0.000
Nd  0.500  0.500  0.335
Nd  0.500  0.500  0.665

Results
- density (Mg/m³) = 6.882
- uncorrected energy (eV/atom) = -4.7231
- space group = P4/mmm (123)

***

No. 6
A plane-wave DFT calculation with GGA-PBE was carried out for a relaxed Ac4La3Nd5 crystal.

a b c (Å): 9.095 9.095 9.951
angles (deg): 115.94 115.94 40.79
Fractional coordinates of all 12 atoms:
Ac  0.081  0.081  0.430
Ac  0.215  0.215  0.873
Ac  0.785  0.785  0.127
Ac  0.919  0.919  0.570
La  0.000  0.000  0.000
La  0.331  0.331  0.611
La  0.669  0.669  0.389
Nd  0.210  0.210  0.227
Nd  0.426  0.426  0.303
Nd  0.500  0.500  0.000
Nd  0.574  0.574  0.697
Nd  0.790  0.790  0.773

Results
- density (Mg/m³) = 7.144
- uncorrected energy (eV/atom) = -4.4118
- space group = C2/m (12)

***

No. 7
A plane-wave DFT calculation with GGA-PBE was carried out for a relaxed Ac3La4Nd crystal.

a b c (Å): 12.358 7.782 6.655
angles (deg): 90.00 90.00 90.00
Fractional coordinates of all 16 atoms:
Ac  0.000  0.130  0.000
Ac  0.248  0.135  0.355
Ac  0.252  0.865  0.855
Ac  0.500  0.870  0.500
Ac  0.748  0.865  0.855
Ac  0.752  0.135  0.355
La  0.000  0.394  0.524
La  0.000  0.617  0.026
La  0.247  0.620  0.343
La  0.253  0.380  0.843
La  0.500  0.383  0.526
La  0.500  0.606  0.024
La  0.747  0.380  0.843
La  0.753  0.620  0.343
Nd  0.000  0.868  0.506
Nd  0.500  0.132  0.006

Results
- E above lowest polymorph (meV per atom) = 15
- density (Mg/m³) = 7.166
- space group = Pmn2_1 (31)

***

No. 8
A plane-wave DFT calculation with GGA-PBE was carried out for a relaxed AcLa6Nd3 crystal.

a b c (Å): 10.659 10.659 6.727
angles (deg): 90.00 90.00 99.07
Fractional coordinates of all 20 atoms:
Ac  0.158  0.842  0.500
Ac  0.842  0.158  0.000
La  0.044  0.452  0.668
La  0.064  0.936  0.044
La  0.256  0.744  0.962
La  0.303  0.457  0.018
La  0.452  0.044  0.168
La  0.457  0.303  0.518
La  0.543  0.697  0.018
La  0.548  0.956  0.668
La  0.697  0.543  0.518
La  0.744  0.256  0.462
La  0.936  0.064  0.544
La  0.956  0.548  0.168
Nd  0.158  0.234  0.307
Nd  0.234  0.158  0.807
Nd  0.383  0.617  0.510
Nd  0.617  0.383  0.010
Nd  0.766  0.842  0.307
Nd  0.842  0.766  0.807

Results
- E above lowest polymorph (meV per atom) = 0
- density (Mg/m³) = 6.571
- space group = Cmc2_1 (36)

***

No. 9
A plane-wave DFT calculation with GGA-PBE was carried out for a relaxed Ac4La4Nd5 crystal.

a b c (Å): 10.071 10.071 10.071
angles (deg): 94.04 94.04 149.20
Fractional coordinates of all 13 atoms:
Ac  0.082  0.619  0.701
Ac  0.381  0.082  0.463
Ac  0.619  0.918  0.537
Ac  0.918  0.381  0.299
La  0.150  0.226  0.376
La  0.226  0.850  0.076
La  0.774  0.150  0.924
La  0.850  0.774  0.624
Nd  0.000  0.000  0.000
Nd  0.314  0.459  0.773
Nd  0.459  0.686  0.146
Nd  0.541  0.314  0.854
Nd  0.686  0.541  0.227

Results
- density (Mg/m³) = 7.195
- uncorrected energy (eV/atom) = -4.5835
- space group = I4/m (87)

***

No. 10
A plane-wave DFT calculation with GGA-PBE was carried out for a relaxed AcLa3Nd crystal.

a b c (Å): 6.190 6.659 10.428
angles (deg): 90.28 92.64 115.58
Fractional coordinates of all 10 atoms:
Ac  0.052  0.080  0.330
Ac  0.948  0.920  0.670
La  0.064  0.273  0.960
La  0.270  0.572  0.584
La  0.384  0.682  0.254
La  0.616  0.318  0.746
La  0.730  0.428  0.416
La  0.936  0.727  0.040
Nd  0.464  0.789  0.897
Nd  0.536  0.211  0.103

Results
- E above lowest polymorph (meV per atom) = 0
- density (Mg/m³) = 6.760
- space group = P-1 (2)

***

No. 11
A plane-wave DFT calculation with GGA-PBE was carried out for a relaxed Ac3La3Nd2 crystal.

a b c (Å): 11.432 11.432 11.432
angles (deg): 152.77 152.54 39.06
Fractional coordinates of all 8 atoms:
Ac  0.000  0.000  0.000
Ac  0.372  0.872  0.500
Ac  0.628  0.128  0.500
La  0.129  0.629  0.500
La  0.500  0.500  0.000
La  0.871  0.371  0.500
Nd  0.250  0.250  0.000
Nd  0.750  0.750  0.000

Results
- E above lowest polymorph (meV per atom) = 0
- density (Mg/m³) = 7.314
- space group = Immm (71)

***

Q: Which value of density does entry 5 give?
A: 6.882 Mg/m³